Entry 1:
Material: AsPt7
Method: DFT, PBE
State: relaxed

Output
- Total energy: -94.1 eV for the cell shown
- Space group: P4/nmm

a b c (Å): 2.8493 2.8493 42.9141
angles (deg): 90.00 90.00 90.00
Positions (direct):
As: 0.5000 0.5000 0.1663
As: 0.0000 0.0000 0.8337
Pt: 0.0000 0.0000 0.2046
Pt: 0.5000 0.5000 0.2521
Pt: 0.0000 0.0000 0.2976
Pt: 0.5000 0.5000 0.3426
Pt: 0.0000 0.0000 0.3873
Pt: 0.5000 0.5000 0.4323
Pt: 0.0000 0.0000 0.4773
Pt: 0.5000 0.5000 0.5226
Pt: 0.0000 0.0000 0.5677
Pt: 0.5000 0.5000 0.6127
Pt: 0.0000 0.0000 0.6574
Pt: 0.5000 0.5000 0.7024
Pt: 0.0000 0.0000 0.7479
Pt: 0.5000 0.5000 0.7954

---

Entry 2:
Material: NbCoNiPb
Method: DFT, PBE
State: relaxed

Output
- Total energy: -25.8 eV for the cell shown
- Space group: F-43m

a b c (Å): 4.4268 4.4268 4.4268
angles (deg): 60.00 60.00 60.00
Positions (direct):
Co: 0.7500 0.7500 0.7500
Nb: 0.5000 0.5000 0.5000
Ni: 0.2500 0.2500 0.2500
Pb: 0.0000 0.0000 0.0000

---

Entry 3:
Material: ZnGaAs2
Method: DFT, PBE
State: relaxed

Output
- Total energy: -12.6 eV for the cell shown
- Space group: F-43m

a b c (Å): 4.7219 4.7219 4.7219
angles (deg): 60.00 60.00 60.00
Positions (direct):
As: 0.0000 0.0000 0.0000
As: 0.7500 0.7500 0.7500
Ga: 0.5000 0.5000 0.5000
Zn: 0.2500 0.2500 0.2500

---

Entry 4:
Material: Nd2Ho2CBr2Cl3
Method: DFT, PBE
State: relaxed

Output
- Total energy: -52.5 eV for the cell shown
- Space group: C2/m

a b c (Å): 8.9318 8.9318 7.9248
angles (deg): 102.74 102.74 24.39
Positions (direct):
Br: 0.1623 0.1623 0.3653
Br: 0.8377 0.8377 0.6347
C: 0.5000 0.5000 0.0000
Cl: 0.8353 0.8353 0.1844
Cl: 0.5000 0.5000 0.5000
Cl: 0.1647 0.1647 0.8156
Ho: 0.9982 0.9982 0.2076
Ho: 0.0018 0.0018 0.7924
Nd: 0.6478 0.6478 0.0763
Nd: 0.3522 0.3522 0.9237

---

Entry 5:
Material: LuTlAuSe3
Method: DFT, PBE
State: relaxed

Output
- Total energy: -51.2 eV for the cell shown
- Space group: Cmcm

a b c (Å): 7.5854 7.5854 10.5638
angles (deg): 90.00 90.00 149.78
Positions (direct):
Au: 0.4626 0.5374 0.2500
Au: 0.5374 0.4626 0.7500
Lu: 0.0000 0.0000 0.0000
Lu: 0.0000 0.0000 0.5000
Se: 0.3659 0.6341 0.0439
Se: 0.0792 0.9208 0.2500
Se: 0.3659 0.6341 0.4561
Se: 0.6341 0.3659 0.5439
Se: 0.9208 0.0792 0.7500
Se: 0.6341 0.3659 0.9561
Tl: 0.7585 0.2415 0.2500
Tl: 0.2415 0.7585 0.7500

---

Entry 6:
Material: TaCdInCu
Method: DFT, PBE
State: relaxed

Output
- Total energy: -17.0 eV for the cell shown
- Space group: F-43m

a b c (Å): 4.6909 4.6909 4.6909
angles (deg): 60.00 60.00 60.00
Positions (direct):
Cd: 0.2500 0.2500 0.2500
Cu: 0.7500 0.7500 0.7500
In: 0.0000 0.0000 0.0000
Ta: 0.5000 0.5000 0.5000

---

Entry 7:
Material: Zr2ScSi2Ni4Ge2
Method: DFT, PBE
State: relaxed

Output
- Total energy: -74.9 eV for the cell shown
- Space group: Immm

a b c (Å): 7.4935 7.4935 7.4935
angles (deg): 149.90 128.85 60.50
Positions (direct):
Ge: 0.7012 0.5000 0.2012
Ge: 0.2988 0.5000 0.7988
Ni: 0.6208 0.3193 0.3014
Ni: 0.9821 0.6807 0.3014
Ni: 0.0179 0.3193 0.6986
Ni: 0.3792 0.6807 0.6986
Sc: 0.0000 0.0000 0.0000
Si: 0.2143 0.2143 0.0000
Si: 0.7857 0.7857 0.0000
Zr: 0.6277 0.1277 0.5000
Zr: 0.3723 0.8723 0.5000

---

Entry 8:
Material: ZrSn2Hg
Method: DFT, PBE
State: relaxed

Output
- Total energy: -16.3 eV for the cell shown
- Space group: F-43m

a b c (Å): 5.1663 5.1663 5.1663
angles (deg): 60.00 60.00 60.00
Positions (direct):
Hg: 0.2500 0.2500 0.2500
Sn: 0.0000 0.0000 0.0000
Sn: 0.7500 0.7500 0.7500
Zr: 0.5000 0.5000 0.5000

---

Entry 9:
Material: DyGa2Si2
Method: DFT, PBE
State: relaxed

Output
- Total energy: -22.4 eV for the cell shown
- Space group: I4/mmm

a b c (Å): 6.2633 6.2633 6.2633
angles (deg): 141.56 141.56 55.49
Positions (direct):
Dy: 0.0000 0.0000 0.0000
Ga: 0.7500 0.2500 0.5000
Ga: 0.2500 0.7500 0.5000
Si: 0.3963 0.3963 0.0000
Si: 0.6037 0.6037 0.0000

---

Entry 10:
Material: LuCuB
Method: DFT, PBE
State: relaxed

Output
- Total energy: -12.4 eV for the cell shown
- Space group: F-43m

a b c (Å): 4.2536 4.2536 4.2536
angles (deg): 60.00 60.00 60.00
Positions (direct):
B: 0.2500 0.2500 0.2500
Cu: 0.7500 0.7500 0.7500
Lu: 0.0000 0.0000 0.0000

---

Entry 11:
Material: LiReAgS3
Method: DFT, PBE
State: relaxed

Output
- Total energy: -61.9 eV for the cell shown
- Space group: Cmcm

a b c (Å): 7.2367 7.2367 9.3970
angles (deg): 90.00 90.00 25.88
Positions (direct):
Ag: 0.8231 0.8231 0.2500
Ag: 0.1769 0.1769 0.7500
Li: 0.1534 0.1534 0.2500
Li: 0.8466 0.8466 0.7500
Re: 0.5000 0.5000 0.0000
Re: 0.5000 0.5000 0.5000
S: 0.8705 0.8705 0.0066
S: 0.5217 0.5217 0.2500
S: 0.8705 0.8705 0.4934
S: 0.1295 0.1295 0.5066
S: 0.4783 0.4783 0.7500
S: 0.1295 0.1295 0.9934

---

Entry 12:
Material: Cu3Ag
Method: DFT, PBE
State: relaxed

Output
- Space group: C2/m
- Calculated formation energy: 0.0771 eV/atom

a b c (Å): 8.8146 8.8146 4.5865
angles (deg): 92.43 92.43 17.51
Positions (direct):
Ag: 0.0612 0.0612 0.2169
Ag: 0.9388 0.9388 0.7831
Cu: 0.6921 0.6921 0.0696
Cu: 0.4249 0.4249 0.2853
Cu: 0.8080 0.8080 0.4290
Cu: 0.1920 0.1920 0.5710
Cu: 0.5751 0.5751 0.7147
Cu: 0.3079 0.3079 0.9304

---

Entry 13:
Material: AgBiPb2
Method: DFT, PBE
State: relaxed

Output
- Total energy: -13.7 eV for the cell shown
- Space group: F-43m

a b c (Å): 5.4208 5.4208 5.4208
angles (deg): 60.00 60.00 60.00
Positions (direct):
Ag: 0.7500 0.7500 0.7500
Bi: 0.0000 0.0000 0.0000
Pb: 0.2500 0.2500 0.2500
Pb: 0.5000 0.5000 0.5000

---

Entry 14:
Material: SmDyNi2B2N2
Method: DFT, PBE
State: relaxed

Output
- Total energy: -58.9 eV for the cell shown
- Space group: P4mm

a b c (Å): 3.5248 3.5248 7.5213
angles (deg): 90.00 90.00 90.00
Positions (direct):
B: 0.5000 0.5000 0.3415
B: 0.0000 0.0000 0.6587
Dy: 0.0000 0.0000 0.1686
N: 0.5000 0.5000 0.1482
N: 0.0000 0.0000 0.8531
Ni: 0.5000 0.0000 0.4995
Ni: 0.0000 0.5000 0.4995
Sm: 0.5000 0.5000 0.8309

---

Entry 15:
Material: LiLaNiGe
Method: DFT, PBE
State: relaxed

Output
- Total energy: -18.9 eV for the cell shown
- Space group: F-43m

a b c (Å): 4.6273 4.6273 4.6273
angles (deg): 60.00 60.00 60.00
Positions (direct):
Ge: 0.5000 0.5000 0.5000
La: 0.0000 0.0000 0.0000
Li: 0.7500 0.7500 0.7500
Ni: 0.2500 0.2500 0.2500

---

Entry 16:
Material: Nb8PtSe20
Method: DFT, PBE
State: relaxed

Output
- Total energy: -178.6 eV for the cell shown
- Space group: C2/m

a b c (Å): 3.4632 10.4872 19.5942
angles (deg): 103.75 95.07 99.50
Positions (direct):
Nb: 0.1683 0.2458 0.0908
Nb: 0.8582 0.5272 0.1892
Nb: 0.5471 0.8136 0.2806
Nb: 0.2910 0.1386 0.4434
Nb: 0.7090 0.8614 0.5566
Nb: 0.4529 0.1864 0.7194
Nb: 0.1418 0.4728 0.8108
Nb: 0.8317 0.7542 0.9092
Pt: 0.5000 0.0000 0.0000
Se: 0.3903 0.7687 0.0119
Se: 0.2915 0.4965 0.0864
Se: 0.6097 0.0887 0.1308
Se: 0.9741 0.7722 0.1760
Se: 0.2979 0.3684 0.2274
Se: 0.1594 0.0162 0.3025
Se: 0.9922 0.6598 0.3245
Se: 0.8353 0.2816 0.3889
Se: 0.6819 0.9359 0.4279
Se: 0.0816 0.6785 0.4847
Se: 0.9184 0.3215 0.5153
Se: 0.3181 0.0641 0.5721
Se: 0.1647 0.7184 0.6111
Se: 0.0078 0.3402 0.6755
Se: 0.8406 0.9838 0.6975
Se: 0.7021 0.6316 0.7726
Se: 0.0259 0.2278 0.8240
Se: 0.3902 0.9113 0.8692
Se: 0.7085 0.5035 0.9136
Se: 0.6097 0.2313 0.9881

---

Entry 17:
Material: Zr3Al3Ir2Pd
Method: DFT, PBE
State: relaxed

Output
- Total energy: -67.7 eV for the cell shown
- Space group: P-62m

a b c (Å): 7.2537 7.2537 3.4823
angles (deg): 90.00 90.00 120.00
Positions (direct):
Al: 0.2636 0.0000 0.5000
Al: 0.0000 0.2636 0.5000
Al: 0.7364 0.7364 0.5000
Ir: 0.6667 0.3333 0.5000
Ir: 0.3333 0.6667 0.5000
Pd: 0.0000 0.0000 0.0000
Zr: 0.5944 0.0000 0.0000
Zr: 0.4056 0.4056 0.0000
Zr: 0.0000 0.5944 0.0000

---

Entry 18:
Material: LaGeIr
Method: DFT, PBE
State: relaxed

Output
- Total energy: -18.9 eV for the cell shown
- Space group: F-43m

a b c (Å): 4.6308 4.6308 4.6308
angles (deg): 60.00 60.00 60.00
Positions (direct):
Ge: 0.0000 0.0000 0.0000
Ir: 0.2500 0.2500 0.2500
La: 0.7500 0.7500 0.7500

---

Entry 19:
Material: BaHgTeO
Method: DFT, PBE
State: relaxed

Output
- Total energy: -26.5 eV for the cell shown
- Space group: P4/nmm

a b c (Å): 4.4154 4.4154 12.2991
angles (deg): 90.00 90.00 90.00
Positions (direct):
Ba: 0.2500 0.2500 0.2598
Ba: 0.7500 0.7500 0.7402
Hg: 0.7500 0.7500 0.1017
Hg: 0.2500 0.2500 0.8983
O: 0.2500 0.2500 0.0755
O: 0.7500 0.7500 0.9245
Te: 0.7500 0.2500 0.5000
Te: 0.2500 0.7500 0.5000

---

Entry 20:
Material: CuGeIrS3
Method: DFT, PBE
State: relaxed

Output
- Total energy: -62.4 eV for the cell shown
- Space group: Cmcm

a b c (Å): 6.9244 6.9244 8.9281
angles (deg): 90.00 90.00 149.55
Positions (direct):
Cu: 0.8224 0.1776 0.2500
Cu: 0.1776 0.8224 0.7500
Ge: 0.1865 0.8135 0.2500
Ge: 0.8135 0.1865 0.7500
Ir: 0.5000 0.5000 0.0000
Ir: 0.5000 0.5000 0.5000
S: 0.8842 0.1158 0.0231
S: 0.5594 0.4406 0.2500
S: 0.8842 0.1158 0.4769
S: 0.1158 0.8842 0.5231
S: 0.4406 0.5594 0.7500
S: 0.1158 0.8842 0.9769